A plane-wave DFT calculation with PBE-GGA was carried out for an optimized crystal structure of VSbRuAu2.

The structure in extended XYZ format:
```
5
Lattice="4.9837 0.0000 0.0000 0.0000 4.9837 0.0000 0.0000 0.0000 4.3293" Properties=species:S:1:pos:R:3 pbc="T T T"
V 0.0000 0.0000 0.0000
Sb 2.4918 2.4918 2.1647
Ru 0.0000 0.0000 2.1647
Au 0.0000 2.4918 0.0000
Au 2.4918 0.0000 0.0000
```

Results
Formation energy from raw total energies ... 0.842 eV per atom
Space group ... P4/mmm
VASP energy ... -4.97 eV/atom
Magnetization ... 0.00 μB/f.u.


A plane-wave DFT calculation with PBE-GGA was carried out for an optimized crystal structure of ZrSbRu2Au.

The structure in extended XYZ format:
```
5
Lattice="4.7801 0.0000 0.0000 0.0000 4.7801 0.0000 0.0000 0.0000 4.9746" Properties=species:S:1:pos:R:3 pbc="T T T"
Zr 0.0000 0.0000 0.0000
Sb 2.3900 2.3900 2.4873
Ru 0.0000 2.3900 2.4873
Ru 2.3900 0.0000 2.4873
Au 2.3900 2.3900 0.0000
```

Results
Formation energy from raw total energies ... 1.005 eV per atom
Space group ... P4/mmm
VASP energy ... -5.90 eV/atom
Magnetization ... 0.00 μB/f.u.


A plane-wave DFT calculation with PBE-GGA was carried out for an optimized crystal structure of ScRuAu.

The structure in extended XYZ format:
```
12
Lattice="6.1901 0.0000 0.0000 0.0000 6.1901 0.0000 0.0000 0.0000 6.1901" Properties=species:S:1:pos:R:3 pbc="T T T"
Sc 0.0000 0.0000 0.0000
Sc 0.0000 3.0950 3.0950
Sc 3.0950 0.0000 3.0950
Sc 3.0950 3.0950 0.0000
Ru 1.5475 1.5475 4.6426
Ru 1.5475 4.6426 1.5475
Ru 4.6426 1.5475 1.5475
Ru 4.6426 4.6426 4.6426
Au 1.5475 1.5475 1.5475
Au 1.5475 4.6426 4.6426
Au 4.6426 1.5475 4.6426
Au 4.6426 4.6426 1.5475
```

Results
Space group ... F-43m
VASP energy ... -6.12 eV/atom
Magnetization ... 0.00 μB/f.u.


A plane-wave DFT calculation with PBE-GGA was carried out for an optimized crystal structure of ScRu2Au.

The structure in extended XYZ format:
```
16
Lattice="3.8886 0.0000 0.0000 0.0000 3.8886 0.0000 0.0000 0.0000 18.9576" Properties=species:S:1:pos:R:3 pbc="T T T"
Sc 0.0000 0.0000 0.0000
Sc 0.0000 1.9443 4.7394
Sc 1.9443 0.0000 14.2182
Sc 1.9443 1.9443 9.4788
Ru 0.7734 0.9721 2.3697
Ru 0.9721 2.7176 7.1091
Ru 0.9721 3.1152 16.5879
Ru 1.1709 0.9721 11.8485
Ru 2.7176 2.9164 11.8485
Ru 2.9164 0.7734 16.5879
Ru 2.9164 1.1709 7.1091
Ru 3.1152 2.9164 2.3697
Au 0.0000 0.0000 9.4788
Au 0.0000 1.9443 14.2182
Au 1.9443 0.0000 4.7394
Au 1.9443 1.9443 0.0000
```

Results
Space group ... I-42d
VASP energy ... -6.82 eV/atom
Magnetization ... 0.00 μB/f.u.


Which value of magnetization does entry 3 give?
0.00 μB/f.u.